Compound: SrScSb
Source: Alexandria via LeMat-Bulk
Functional: GGA-PBEsol
Structure: relaxed

Results
final energy = -4.88 eV per atom
raw formation energy = -0.548 eV/atom

Geometry as CIF:
```
data_SrScSb
_chemical_formula_sum 'Sr1 Sc1 Sb1'
_symmetry_space_group_name_H-M 'P -6 m 2'
_symmetry_Int_Tables_number 187
_symmetry_space_group_name_Hall 'P -6 2'
_cell_length_a 4.8759
_cell_length_b 4.8759
_cell_length_c 4.4980
_cell_angle_alpha 90.00
_cell_angle_beta 90.00
_cell_angle_gamma 120.00
loop_
_atom_site_label
_atom_site_type_symbol
_atom_site_fract_x
_atom_site_fract_y
_atom_site_fract_z
Sr1 Sr 0.0000 0.0000 0.0000
Sc1 Sc 0.6667 0.3333 0.5000
Sb1 Sb 0.3333 0.6667 0.5000
```

---

Compound: ScTaSb4
Source: Alexandria via LeMat-Bulk
Functional: GGA-PBEsol
Structure: relaxed

Results
final energy = -5.56 eV per atom
raw formation energy = 0.668 eV/atom

Geometry as CIF:
```
data_ScTaSb4
_chemical_formula_sum 'Sc4 Ta4 Sb16'
_symmetry_space_group_name_H-M 'F -4 3 m'
_symmetry_Int_Tables_number 216
_symmetry_space_group_name_Hall 'F -4 2 3'
_cell_length_a 8.420
_cell_length_b 8.420
_cell_length_c 8.420
_cell_angle_alpha 90.00
_cell_angle_beta 90.00
_cell_angle_gamma 90.00
loop_
_atom_site_label
_atom_site_type_symbol
_atom_site_fract_x
_atom_site_fract_y
_atom_site_fract_z
Sc1 Sc 0.000 0.000 0.000
Ta1 Ta 0.250 0.250 0.250
Sb1 Sb 0.125 0.125 0.625
```

---

Compound: TbScSb
Source: Alexandria via LeMat-Bulk
Functional: GGA-PBEsol
Structure: relaxed

Results
final energy = -6.30 eV per atom
raw formation energy = -0.909 eV/atom

Geometry as CIF:
```
data_TbScSb
_chemical_formula_sum 'Tb2 Sc2 Sb2'
_symmetry_space_group_name_H-M 'P 4/n m m'
_symmetry_Int_Tables_number 129
_cell_length_a 4.291
_cell_length_b 4.291
_cell_length_c 8.099
_cell_angle_alpha 90.00
_cell_angle_beta 90.00
_cell_angle_gamma 90.00
loop_
_symmetry_equiv_pos_as_xyz
'x,y,z'
'-x,-y,-z'
'-y+1/2,x,z'
'y+1/2,-x,-z'
'-x+1/2,-y+1/2,z'
'x+1/2,y+1/2,-z'
'y,-x+1/2,z'
'-y,x+1/2,-z'
'x+1/2,-y,-z'
'-x+1/2,y,z'
'-y,-x,-z'
'y,x,z'
'-x,y+1/2,-z'
'x,-y+1/2,z'
'y+1/2,x+1/2,-z'
'-y+1/2,-x+1/2,z'
loop_
_atom_site_label
_atom_site_type_symbol
_atom_site_fract_x
_atom_site_fract_y
_atom_site_fract_z
Tb1 Tb 0.250 0.250 0.151
Sc1 Sc 0.250 0.750 0.500
Sb1 Sb 0.250 0.250 0.764
```

---

Compound: ScTcSb2Te
Source: Alexandria via LeMat-Bulk
Functional: GGA-PBEsol
Structure: relaxed

Results
final energy = -5.71 eV per atom
raw formation energy = 0.388 eV/atom

Geometry as CIF:
```
data_ScTcSb2Te
_chemical_formula_sum 'Sc1 Tc1 Sb2 Te1'
_symmetry_space_group_name_H-M 'P 4/m m m'
_symmetry_Int_Tables_number 123
_symmetry_space_group_name_Hall '-P 4 2'
_cell_length_a 4.941
_cell_length_b 4.941
_cell_length_c 5.648
_cell_angle_alpha 90.00
_cell_angle_beta 90.00
_cell_angle_gamma 90.00
loop_
_atom_site_label
_atom_site_type_symbol
_atom_site_fract_x
_atom_site_fract_y
_atom_site_fract_z
Sc1 Sc 0.000 0.000 0.000
Tc1 Tc 0.500 0.500 0.500
Sb1 Sb 0.000 0.500 0.500
Te1 Te 0.500 0.500 0.000
```

---

Compound: Sc2TcSbW
Source: Alexandria via LeMat-Bulk
Functional: GGA-PBEsol
Structure: relaxed

Results
final energy = -7.59 eV per atom
raw formation energy = 0.980 eV/atom

Geometry as CIF:
```
data_Sc2TcSbW
_chemical_formula_sum 'Sc2 Tc1 Sb1 W1'
_symmetry_space_group_name_H-M 'P 4/m m m'
_symmetry_Int_Tables_number 123
_symmetry_space_group_name_Hall '-P 4 2'
_cell_length_a 4.784
_cell_length_b 4.784
_cell_length_c 4.972
_cell_angle_alpha 90.00
_cell_angle_beta 90.00
_cell_angle_gamma 90.00
loop_
_atom_site_label
_atom_site_type_symbol
_atom_site_fract_x
_atom_site_fract_y
_atom_site_fract_z
Sc1 Sc 0.000 0.500 0.000
Tc1 Tc 0.000 0.000 0.000
Sb1 Sb 0.000 0.000 0.500
W1 W 0.500 0.500 0.500
```

---

Compound: ScSbTe2
Source: Alexandria via LeMat-Bulk
Functional: GGA-PBEsol
Structure: relaxed

Results
final energy = -4.94 eV per atom
raw formation energy = -0.391 eV/atom

Geometry as CIF:
```
data_ScSbTe2
_chemical_formula_sum 'Sc1 Sb1 Te2'
_symmetry_space_group_name_H-M 'P m m m'
_symmetry_Int_Tables_number 47
_cell_length_a 3.714
_cell_length_b 5.020
_cell_length_c 5.418
_cell_angle_alpha 90.00
_cell_angle_beta 90.00
_cell_angle_gamma 90.00
loop_
_symmetry_equiv_pos_as_xyz
'x,y,z'
'-x,-y,-z'
'-x,-y,z'
'x,y,-z'
'x,-y,-z'
'-x,y,z'
'-x,y,-z'
'x,-y,z'
loop_
_atom_site_label
_atom_site_type_symbol
_atom_site_fract_x
_atom_site_fract_y
_atom_site_fract_z
Sc1 Sc 0.000 0.000 0.000
Sb1 Sb 0.000 0.500 0.500
Te1 Te 0.500 0.000 0.500
Te2 Te 0.500 0.500 0.000
```

---

Compound: ScSbTe2
Source: Alexandria via LeMat-Bulk
Functional: GGA-PBEsol
Structure: relaxed

Results
final energy = -4.72 eV per atom
raw formation energy = -0.171 eV/atom

Geometry as CIF:
```
data_ScSbTe2
_chemical_formula_sum 'Sc4 Sb4 Te8'
_symmetry_space_group_name_H-M 'I -4 2 d'
_symmetry_Int_Tables_number 122
_symmetry_space_group_name_Hall 'I -4 2bw'
_cell_length_a 5.426
_cell_length_b 5.426
_cell_length_c 17.741
_cell_angle_alpha 90.00
_cell_angle_beta 90.00
_cell_angle_gamma 90.00
loop_
_atom_site_label
_atom_site_type_symbol
_atom_site_fract_x
_atom_site_fract_y
_atom_site_fract_z
Sc1 Sc 0.000 0.000 0.000
Sb1 Sb 0.000 0.000 0.500
Te1 Te 0.220 0.250 0.125
```

---

Compound: ScSbTe2
Source: Alexandria via LeMat-Bulk
Functional: GGA-PBEsol
Structure: relaxed

Results
final energy = -4.91 eV per atom
raw formation energy = -0.358 eV/atom

Geometry as CIF:
```
data_ScSbTe2
_chemical_formula_sum 'Sc2 Sb2 Te4'
_symmetry_space_group_name_H-M 'C m m m'
_symmetry_Int_Tables_number 65
_symmetry_space_group_name_Hall '-C 2 2'
_cell_length_a 5.975
_cell_length_b 9.880
_cell_length_c 3.794
_cell_angle_alpha 90.00
_cell_angle_beta 90.00
_cell_angle_gamma 90.00
loop_
_atom_site_label
_atom_site_type_symbol
_atom_site_fract_x
_atom_site_fract_y
_atom_site_fract_z
Sc1 Sc 0.000 0.000 0.000
Sb1 Sb 0.000 0.500 0.000
Te1 Te 0.000 0.224 0.500
```

---

Compound: ScSb2Te
Source: Alexandria via LeMat-Bulk
Functional: GGA-PBEsol
Structure: relaxed

Results
final energy = -4.98 eV per atom
raw formation energy = -0.167 eV/atom

Geometry as CIF:
```
data_ScSb2Te
_chemical_formula_sum 'Sc3 Sb6 Te3'
_symmetry_space_group_name_H-M 'R -3 m'
_symmetry_Int_Tables_number 166
_symmetry_space_group_name_Hall '-R 3 2"'
_cell_length_a 3.3463
_cell_length_b 3.3463
_cell_length_c 30.9594
_cell_angle_alpha 90.00
_cell_angle_beta 90.00
_cell_angle_gamma 120.00
loop_
_atom_site_label
_atom_site_type_symbol
_atom_site_fract_x
_atom_site_fract_y
_atom_site_fract_z
Sc1 Sc 0.0000 0.0000 0.0000
Sb1 Sb 0.0000 0.0000 0.2592
Te1 Te 0.0000 0.0000 0.5000
```

---

Compound: ScSbTe
Source: Alexandria via LeMat-Bulk
Functional: GGA-PBEsol
Structure: relaxed

Results
final energy = -5.45 eV per atom
raw formation energy = -0.549 eV/atom

Geometry as CIF:
```
data_ScSbTe
_chemical_formula_sum 'Sc1 Sb1 Te1'
_symmetry_space_group_name_H-M 'P 3 m 1'
_symmetry_Int_Tables_number 156
_cell_length_a 3.5897
_cell_length_b 3.5897
_cell_length_c 7.0500
_cell_angle_alpha 90.00
_cell_angle_beta 90.00
_cell_angle_gamma 120.00
loop_
_symmetry_equiv_pos_as_xyz
'x,y,z'
'-y,x-y,z'
'-x+y,-x,z'
'-y,-x,z'
'-x+y,y,z'
'x,x-y,z'
loop_
_atom_site_label
_atom_site_type_symbol
_atom_site_fract_x
_atom_site_fract_y
_atom_site_fract_z
Sc1 Sc 0.0000 0.0000 0.0000
Sb1 Sb 0.3333 0.6667 0.3114
Te1 Te 0.6667 0.3333 0.7241
```

---

Compound: ScSbTe
Source: Alexandria via LeMat-Bulk
Functional: GGA-PBEsol
Structure: relaxed

Results
final energy = -5.37 eV per atom
raw formation energy = -0.477 eV/atom

Geometry as CIF:
```
data_ScSbTe
_chemical_formula_sum 'Sc1 Sb1 Te1'
_symmetry_space_group_name_H-M 'P -6 m 2'
_symmetry_Int_Tables_number 187
_symmetry_space_group_name_Hall 'P -6 2'
_cell_length_a 4.8688
_cell_length_b 4.8688
_cell_length_c 3.7158
_cell_angle_alpha 90.00
_cell_angle_beta 90.00
_cell_angle_gamma 120.00
loop_
_atom_site_label
_atom_site_type_symbol
_atom_site_fract_x
_atom_site_fract_y
_atom_site_fract_z
Sc1 Sc 0.0000 0.0000 0.0000
Sb1 Sb 0.3333 0.6667 0.5000
Te1 Te 0.6667 0.3333 0.0000
```

---

Compound: ScSb2Te
Source: Alexandria via LeMat-Bulk
Functional: GGA-PBEsol
Structure: relaxed

Results
final energy = -5.15 eV per atom
raw formation energy = -0.342 eV/atom

Geometry as CIF:
```
data_ScSb2Te
_chemical_formula_sum 'Sc2 Sb4 Te2'
_symmetry_space_group_name_H-M 'C 1 m 1'
_symmetry_Int_Tables_number 8
_cell_length_a 10.534
_cell_length_b 3.547
_cell_length_c 5.487
_cell_angle_alpha 90.00
_cell_angle_beta 98.77
_cell_angle_gamma 90.00
loop_
_symmetry_equiv_pos_as_xyz
'x,y,z'
'x,-y,z'
'x+1/2,y+1/2,z'
'x+1/2,-y+1/2,z'
loop_
_atom_site_label
_atom_site_type_symbol
_atom_site_fract_x
_atom_site_fract_y
_atom_site_fract_z
Sc1 Sc 0.000 0.000 0.000
Sb1 Sb 0.003 0.500 0.492
Sb2 Sb 0.226 0.500 0.225
Te1 Te 0.287 0.000 0.797
```

---

Compound: ScTl3Sb
Source: Alexandria via LeMat-Bulk
Functional: GGA-PBEsol
Structure: relaxed

Results
final energy = -3.30 eV per atom
raw formation energy = 0.515 eV/atom

Geometry as CIF:
```
data_ScTl3Sb
_chemical_formula_sum 'Sc1 Tl3 Sb1'
_symmetry_space_group_name_H-M 'P m -3 m'
_symmetry_Int_Tables_number 221
_symmetry_space_group_name_Hall '-P 4 2 3'
_cell_length_a 5.493
_cell_length_b 5.493
_cell_length_c 5.493
_cell_angle_alpha 90.00
_cell_angle_beta 90.00
_cell_angle_gamma 90.00
loop_
_atom_site_label
_atom_site_type_symbol
_atom_site_fract_x
_atom_site_fract_y
_atom_site_fract_z
Sc1 Sc 0.000 0.000 0.000
Tl1 Tl 0.000 0.000 0.500
Sb1 Sb 0.500 0.500 0.500
```

---

Compound: ScTl2Sb
Source: Alexandria via LeMat-Bulk
Functional: GGA-PBEsol
Structure: relaxed

Results
final energy = -4.41 eV per atom
raw formation energy = -0.305 eV/atom
E above lowest polymorph = 0.000 eV/atom

Geometry as CIF:
```
data_ScTl2Sb
_chemical_formula_sum 'Sc1 Tl2 Sb1'
_symmetry_space_group_name_H-M 'P 4 m m'
_symmetry_Int_Tables_number 99
_cell_length_a 3.897
_cell_length_b 3.897
_cell_length_c 6.783
_cell_angle_alpha 90.00
_cell_angle_beta 90.00
_cell_angle_gamma 90.00
loop_
_symmetry_equiv_pos_as_xyz
'x,y,z'
'-y,x,z'
'-x,-y,z'
'y,-x,z'
'-x,y,z'
'y,x,z'
'x,-y,z'
'-y,-x,z'
loop_
_atom_site_label
_atom_site_type_symbol
_atom_site_fract_x
_atom_site_fract_y
_atom_site_fract_z
Sc1 Sc 0.000 0.000 0.000
Tl1 Tl 0.000 0.000 0.545
Tl2 Tl 0.500 0.500 0.296
Sb1 Sb 0.500 0.500 0.851
```

---

Compound: ScTl2Sb
Source: Alexandria via LeMat-Bulk
Functional: GGA-PBEsol
Structure: relaxed

Results
final energy = -4.36 eV per atom
raw formation energy = -0.255 eV/atom
E above lowest polymorph = 0.050 eV/atom

Geometry as CIF:
```
data_ScTl2Sb
_chemical_formula_sum 'Sc4 Tl8 Sb4'
_symmetry_space_group_name_H-M 'F m m m'
_symmetry_Int_Tables_number 69
_symmetry_space_group_name_Hall '-F 2 2'
_cell_length_a 6.015
_cell_length_b 6.034
_cell_length_c 11.449
_cell_angle_alpha 90.00
_cell_angle_beta 90.00
_cell_angle_gamma 90.00
loop_
_atom_site_label
_atom_site_type_symbol
_atom_site_fract_x
_atom_site_fract_y
_atom_site_fract_z
Sc1 Sc 0.000 0.000 0.000
Tl1 Tl 0.250 0.000 0.250
Sb1 Sb 0.000 0.000 0.500
```

---

Compound: ScSb3W
Source: Alexandria via LeMat-Bulk
Functional: GGA-PBEsol
Structure: relaxed

Results
final energy = -6.15 eV per atom
raw formation energy = 0.669 eV/atom

Geometry as CIF:
```
data_ScSb3W
_chemical_formula_sum 'Sc1 Sb3 W1'
_symmetry_space_group_name_H-M 'P m -3 m'
_symmetry_Int_Tables_number 221
_symmetry_space_group_name_Hall '-P 4 2 3'
_cell_length_a 5.199
_cell_length_b 5.199
_cell_length_c 5.199
_cell_angle_alpha 90.00
_cell_angle_beta 90.00
_cell_angle_gamma 90.00
loop_
_atom_site_label
_atom_site_type_symbol
_atom_site_fract_x
_atom_site_fract_y
_atom_site_fract_z
Sc1 Sc 0.000 0.000 0.000
Sb1 Sb 0.000 0.500 0.500
W1 W 0.500 0.500 0.500
```

---

Compound: ScSb2W
Source: Alexandria via LeMat-Bulk
Functional: GGA-PBEsol
Structure: relaxed

Results
final energy = -7.40 eV per atom
raw formation energy = -0.019 eV/atom

Geometry as CIF:
```
data_ScSb2W
_chemical_formula_sum 'Sc2 Sb4 W2'
_symmetry_space_group_name_H-M 'C 1 m 1'
_symmetry_Int_Tables_number 8
_cell_length_a 10.011
_cell_length_b 3.507
_cell_length_c 4.695
_cell_angle_alpha 90.00
_cell_angle_beta 101.58
_cell_angle_gamma 90.00
loop_
_symmetry_equiv_pos_as_xyz
'x,y,z'
'x,-y,z'
'x+1/2,y+1/2,z'
'x+1/2,-y+1/2,z'
loop_
_atom_site_label
_atom_site_type_symbol
_atom_site_fract_x
_atom_site_fract_y
_atom_site_fract_z
Sc1 Sc 0.000 0.000 0.000
Sb1 Sb 0.233 0.500 0.110
Sb2 Sb 0.482 0.000 0.496
W1 W 0.205 0.000 0.602
```

---

Compound: ScSbW2
Source: Alexandria via LeMat-Bulk
Functional: GGA-PBEsol
Structure: relaxed

Results
final energy = -9.49 eV per atom
raw formation energy = 0.199 eV/atom

Geometry as CIF:
```
data_ScSbW2
_chemical_formula_sum 'Sc1 Sb1 W2'
_symmetry_space_group_name_H-M 'P 4/m m m'
_symmetry_Int_Tables_number 123
_symmetry_space_group_name_Hall '-P 4 2'
_cell_length_a 3.984
_cell_length_b 3.984
_cell_length_c 4.402
_cell_angle_alpha 90.00
_cell_angle_beta 90.00
_cell_angle_gamma 90.00
loop_
_atom_site_label
_atom_site_type_symbol
_atom_site_fract_x
_atom_site_fract_y
_atom_site_fract_z
Sc1 Sc 0.000 0.000 0.000
Sb1 Sb 0.500 0.500 0.000
W1 W 0.000 0.500 0.500
```

---

Compound: Sc2SbW
Source: Alexandria via LeMat-Bulk
Functional: GGA-PBEsol
Structure: relaxed

Results
final energy = -7.90 eV per atom
raw formation energy = -0.007 eV/atom

Geometry as CIF:
```
data_Sc2SbW
_chemical_formula_sum 'Sc2 Sb1 W1'
_symmetry_space_group_name_H-M 'P 4 m m'
_symmetry_Int_Tables_number 99
_cell_length_a 3.546
_cell_length_b 3.546
_cell_length_c 6.256
_cell_angle_alpha 90.00
_cell_angle_beta 90.00
_cell_angle_gamma 90.00
loop_
_symmetry_equiv_pos_as_xyz
'x,y,z'
'-y,x,z'
'-x,-y,z'
'y,-x,z'
'-x,y,z'
'y,x,z'
'x,-y,z'
'-y,-x,z'
loop_
_atom_site_label
_atom_site_type_symbol
_atom_site_fract_x
_atom_site_fract_y
_atom_site_fract_z
Sc1 Sc 0.000 0.000 0.000
Sc2 Sc 0.500 0.500 0.284
Sb1 Sb 0.500 0.500 0.751
W1 W 0.000 0.000 0.537
```

---

Compound: ScSbW
Source: Alexandria via LeMat-Bulk
Functional: GGA-PBEsol
Structure: relaxed

Results
final energy = -8.38 eV per atom
raw formation energy = -0.060 eV/atom

Geometry as CIF:
```
data_ScSbW
_chemical_formula_sum 'Sc2 Sb2 W2'
_symmetry_space_group_name_H-M 'I 4 m m'
_symmetry_Int_Tables_number 107
_symmetry_space_group_name_Hall 'I 4 -2'
_cell_length_a 3.509
_cell_length_b 3.509
_cell_length_c 9.129
_cell_angle_alpha 90.00
_cell_angle_beta 90.00
_cell_angle_gamma 90.00
loop_
_atom_site_label
_atom_site_type_symbol
_atom_site_fract_x
_atom_site_fract_y
_atom_site_fract_z
Sc1 Sc 0.000 0.000 0.000
Sb1 Sb 0.000 0.000 0.319
W1 W 0.000 0.000 0.670
```